Below is Pr3SnRh after structural relaxation, with properties calculated at the PBE level.

a b c (Å): 10.512 10.512 7.012
angles (deg): 103.44 103.44 51.76
Element x y z (fractional)
Pr: 0.126 0.205 0.451
Pr: 0.205 0.126 0.951
Pr: 0.208 0.725 0.971
Pr: 0.268 0.459 0.326
Pr: 0.275 0.792 0.529
Pr: 0.459 0.268 0.826
Pr: 0.541 0.732 0.174
Pr: 0.725 0.208 0.471
Pr: 0.732 0.541 0.674
Pr: 0.792 0.275 0.029
Pr: 0.795 0.874 0.049
Pr: 0.874 0.795 0.549
Sn: 0.079 0.492 0.825
Sn: 0.492 0.079 0.325
Sn: 0.508 0.921 0.675
Sn: 0.921 0.508 0.175
Rh: 0.005 0.995 0.250
Rh: 0.498 0.502 0.750
Rh: 0.502 0.498 0.250
Rh: 0.995 0.005 0.750

Summary:
Symmetry: C2/c, No. 15
Raw total energy (eV for the cell shown): -113.7